Entry 1:
The following is a DFT calculation (meta-GGA SCAN) of a PBEsol-optimized structure of Li3CrCo3O8.

a b c (Å): 9.7161 5.6104 5.6616
angles (deg): 90.00 123.95 90.00
Last column: nearest neighbours and their distance in Å.
Space group C2/m (No. 12)
Symmetry-distinct sites (fractional):
Li  0.0000  0.0000  0.0000 (multiplicity 2)  6 O 2.07-2.09
Li  0.2500  0.2500  0.0000 (multiplicity 4)  6 O 2.07-2.13
Cr  0.0000  0.5000  0.5000 (multiplicity 2)  6 O 1.92-1.95
Co  0.0000  0.0000  0.5000 (multiplicity 2)  6 O 1.87-1.89
Co  0.2500  0.2500  0.5000 (multiplicity 4)  6 O 1.89-1.92
O  0.0135  0.2456  0.2860 (multiplicity 8)  2 Co 1.89-1.91, 1 Cr 1.92, 1 Li 2.07
O  0.2320  0.0000  0.7055 (multiplicity 4)  3 Co 1.87-1.89
O  0.2418  0.5000  0.7225 (multiplicity 4)  2 Co 1.92, 1 Cr 1.95, 3 Li 2.07-2.09

Computed properties:
**Raw formation energy**: -1.918 eV per atom
**DOS(E_F)**: 5.94 states/eV per cell


Entry 2:
The following is a DFT calculation (meta-GGA SCAN) of a PBEsol-optimized structure of Li4Cr3CoO8.

a b c (Å): 4.9715 5.7465 4.9951
angles (deg): 90.00 109.33 90.00
Last column: nearest neighbours and their distance in Å.
Space group P2/m (No. 10)
Symmetry-distinct sites (fractional):
Li  0.0000  0.0000  0.0000 (multiplicity 1)  6 O 2.10-2.12
Li  0.0000  0.5000  0.0000 (multiplicity 1)  6 O 2.09-2.13
Li  0.5000  0.2452  0.0000 (multiplicity 2)  6 O 2.08-2.12
Cr  0.0000  0.2469  0.5000 (multiplicity 2)  6 O 1.96-1.98
Cr  0.5000  0.5000  0.5000 (multiplicity 1)  6 O 1.98
Co  0.5000  0.0000  0.5000 (multiplicity 1)  6 O 1.95
O  0.2409  0.5000  0.7265 (multiplicity 2)  3 Cr 1.98, 3 Li 2.09-2.12
O  0.2462  0.0000  0.7245 (multiplicity 2)  1 Co 1.95, 2 Cr 1.96, 3 Li 2.08-2.12
O  0.2606  0.2465  0.2757 (multiplicity 4)  1 Co 1.95, 2 Cr 1.97-1.98, 3 Li 2.10-2.13

Computed properties:
**Raw formation energy**: -2.356 eV per atom
**DOS(E_F)**: 0.00 states/eV per cell


Entry 3:
The following is a DFT calculation (meta-GGA SCAN) of a PBEsol-optimized structure of Li4Cr3CoO8.

a b c (Å): 5.7453 5.7453 14.1408
angles (deg): 90.00 90.00 120.00
Last column: nearest neighbours and their distance in Å.
Space group R-3m (No. 166, hexagonal axes)
Symmetry-distinct sites (fractional):
Li  0.0000  0.0000  0.0000 (multiplicity 3)  6 O 2.12
Li  0.0000  0.5000  0.0000 (multiplicity 9)  6 O 2.10
Cr  0.0000  0.5000  0.5000 (multiplicity 9)  6 O 1.97
Co  0.0000  0.0000  0.5000 (multiplicity 3)  6 O 1.95
O  0.0000  0.0000  0.2423 (multiplicity 6)  3 Cr 1.97, 3 Li 2.10
O  0.0037  0.5019  0.2414 (multiplicity 18)  1 Co 1.95, 2 Cr 1.97, 3 Li 2.10-2.12

Computed properties:
**Raw formation energy**: -2.353 eV per atom


Entry 4:
The following is a DFT calculation (meta-GGA SCAN) of a PBEsol-optimized structure of Li4Cr3CoO8.

a b c (Å): 9.9495 5.7487 4.9945
angles (deg): 90.00 109.33 90.00
Last column: nearest neighbours and their distance in Å.
Space group C2/m (No. 12)
Symmetry-distinct sites (fractional):
Li  0.0000  0.2453  0.0000 (multiplicity 4)  6 O 2.08-2.12
Li  0.2462  0.0000  0.9912 (multiplicity 4)  6 O 2.07-2.16
Cr  0.0000  0.5000  0.5000 (multiplicity 2)  6 O 1.98
Cr  0.2500  0.2500  0.5000 (multiplicity 4)  6 O 1.97
Co  0.0000  0.0000  0.5000 (multiplicity 2)  6 O 1.95
O  0.1196  0.2468  0.7240 (multiplicity 8)  1 Co 1.95, 2 Cr 1.97-1.98, 3 Li 2.07-2.16
O  0.1275  0.0000  0.2765 (multiplicity 4)  1 Co 1.95, 2 Cr 1.97, 3 Li 2.08-2.13
O  0.1291  0.5000  0.2725 (multiplicity 4)  3 Cr 1.97-1.98, 3 Li 2.09-2.12

Computed properties:
**Raw formation energy**: -2.357 eV per atom
**DOS(E_F)**: 0.00 states/eV per cell


Entry 5:
The following is a DFT calculation (meta-GGA SCAN) of a PBEsol-optimized structure of Li2CrCo3O8.

a b c (Å): 5.6511 5.6511 13.7182
angles (deg): 90.00 90.00 120.00
Last column: nearest neighbours and their distance in Å.
Space group R-3m (No. 166, hexagonal axes)
Symmetry-distinct sites (fractional):
Li  0.0000  0.0000  0.1233 (multiplicity 6)  4 O 1.90-1.93
Cr  0.0000  0.0000  0.5000 (multiplicity 3)  6 O 1.91
Co  0.0000  0.5000  0.0000 (multiplicity 9)  6 O 1.89
O  0.0000  0.0000  0.2643 (multiplicity 6)  3 Co 1.89, 1 Li 1.93
O  0.0339  0.5170  0.2555 (multiplicity 18)  2 Co 1.89, 1 Li 1.90, 1 Cr 1.91

Computed properties:
**Raw formation energy**: -1.809 eV per atom
**DOS(E_F)**: 22.30 states/eV per cell


Entry 6:
The following is a DFT calculation (meta-GGA SCAN) of a PBEsol-optimized structure of Li2CrCo3O8.

a b c (Å): 11.2566 11.2566 13.7868
angles (deg): 90.00 90.00 120.00
Last column: nearest neighbours and their distance in Å.
Space group R32 (No. 155, hexagonal axes)
Symmetry-distinct sites (fractional):
Li  0.0000  0.0000  0.1304 (multiplicity 6)  4 O 1.89-1.91
Li  0.0034  0.4968  0.8767 (multiplicity 18)  4 O 1.90-1.91
Cr  0.0000  0.0000  0.5000 (multiplicity 3)  6 O 1.91
Cr  0.0000  0.7504  0.0000 (multiplicity 9)  6 O 1.91
Co  0.0000  0.2475  0.0000 (multiplicity 9)  6 O 1.88-1.89
Co  0.0000  0.5024  0.5000 (multiplicity 9)  6 O 1.88-1.89
Co  0.0826  0.9151  0.6650 (multiplicity 18)  6 O 1.88-1.89
O  0.0000  0.0000  0.2678 (multiplicity 6)  3 Co 1.88, 1 Li 1.89
O  0.0005  0.4988  0.7384 (multiplicity 18)  2 Co 1.89, 1 Li 1.91, 1 Cr 1.91
O  0.0155  0.7591  0.7456 (multiplicity 18)  2 Co 1.89, 1 Li 1.91, 1 Cr 1.91
O  0.0236  0.2618  0.7441 (multiplicity 18)  3 Co 1.88, 1 Li 1.90
O  0.0747  0.1516  0.4121 (multiplicity 18)  2 Co 1.89, 1 Li 1.91, 1 Cr 1.91
O  0.0909  0.1826  0.9193 (multiplicity 18)  2 Co 1.89, 1 Li 1.91, 1 Cr 1.91

Computed properties:
**Raw formation energy**: -1.812 eV per atom
**DOS(E_F)**: 105.65 states/eV per cell


Number 4 is which compound? Li4Cr3CoO8